Density functional theory data (GGA+U) for a relaxed AcTlFe2O4 crystal.

Cell and atoms, written as CIF:
```
data_AcTlFe2O4
_space_group_name_H-M_alt 'P 4/m m m'
_space_group_IT_number 123
_space_group_name_Hall '-P 4 2'
_cell_length_a 4.0948
_cell_length_b 4.0948
_cell_length_c 7.7837
_cell_angle_alpha 90.00
_cell_angle_beta 90.00
_cell_angle_gamma 90.00
loop_
_atom_site_label
_atom_site_type_symbol
_atom_site_fract_x
_atom_site_fract_y
_atom_site_fract_z
Ac1 Ac 0.0000 0.0000 0.0000
Tl1 Tl 0.0000 0.0000 0.5000
Fe1 Fe 0.5000 0.5000 0.2397
O1 O 0.0000 0.5000 0.2085
```

VASP energy: -6.45 eV per atom
magnetic moment: 8.0 μB per formula unit